No. 1
Computed, not measured: a relaxed Ti5Ir4W crystal at the PBE-GGA level of DFT.

E ... -0.6968 Ry/atom
Energy relative to the elements ... -0.693 eV per atom

a = 3.1708 Å, b = 3.1708 Å, c = 15.2135 Å
α = 90.00°, β = 90.00°, γ = 90.00°
Sites, in units of the cell vectors:
Ti  0.0000  0.0000  0.0000
Ti  0.0000  0.0000  0.1987
Ti  0.0000  0.0000  0.3998
Ti  0.0000  0.0000  0.6002
Ti  0.0000  0.0000  0.8013
Ir  0.5000  0.5000  0.0980
Ir  0.5000  0.5000  0.2940
Ir  0.5000  0.5000  0.7060
Ir  0.5000  0.5000  0.9020
W  0.5000  0.5000  0.5000

=====

No. 2
Computed, not measured: a relaxed Rb2ZnI crystal at the PBE-GGA level of DFT.

E ... -0.1221 Ry/atom
Formation energy from raw total energies ... -0.471 eV/atom
Energy above the lowest structure with this stoichiometry ... 0.097 eV per atom

a = 6.4164 Å, b = 6.4164 Å, c = 6.4164 Å
α = 60.00°, β = 60.00°, γ = 60.00°
Sites, in units of the cell vectors:
Rb  0.2500  0.2500  0.2500
Rb  0.7500  0.7500  0.7500
Zn  0.0000  0.0000  0.0000
I  0.5000  0.5000  0.5000

=====

No. 3
Computed, not measured: a relaxed Ba2TaTl crystal at the PBE-GGA level of DFT.

E ... -0.2860 Ry/atom
Energy above the lowest structure with this stoichiometry ... 0.085 eV per atom
Energy relative to the elements ... 0.624 eV per atom

a = 3.6349 Å, b = 5.2750 Å, c = 7.4000 Å
α = 90.00°, β = 104.16°, γ = 90.00°
Sites, in units of the cell vectors:
Ba  0.0000  0.0000  0.0000
Ba  0.3105  0.5000  0.6254
Ta  0.6036  0.5000  0.2072
Tl  0.7057  0.0000  0.4142

=====

No. 4
Computed, not measured: a relaxed BeAg2As crystal at the PBE-GGA level of DFT.

E ... -0.2410 Ry/atom
Energy above the lowest structure with this stoichiometry ... 0.029 eV per atom
Energy relative to the elements ... 0.240 eV per atom

a = 2.8939 Å, b = 3.2839 Å, c = 6.8384 Å
α = 90.00°, β = 90.00°, γ = 90.00°
Sites, in units of the cell vectors:
Be  0.0000  0.0000  0.0000
Ag  0.0000  0.0000  0.5066
Ag  0.5000  0.5000  0.2252
As  0.5000  0.5000  0.8209

=====

No. 5
Computed, not measured: a relaxed LiZrN2 crystal at the PBE-GGA level of DFT.

E ... -0.5402 Ry/atom
Formation energy from raw total energies ... -0.571 eV/atom
Energy above the lowest structure with this stoichiometry ... 0.208 eV per atom

a = 6.1072 Å, b = 6.1072 Å, c = 6.1072 Å
α = 133.89°, β = 133.89°, γ = 67.25°
Sites, in units of the cell vectors:
Li  0.0000  0.0000  0.0000
Li  0.7500  0.2500  0.5000
Zr  0.2500  0.7500  0.5000
Zr  0.5000  0.5000  0.0000
N  0.1405  0.6250  0.0155
N  0.3750  0.3905  0.5155
N  0.6095  0.1250  0.9845
N  0.8750  0.8595  0.4845

=====

No. 6
Computed, not measured: a relaxed AgPW2 crystal at the PBE-GGA level of DFT.

E ... -0.5926 Ry/atom
Energy above the lowest structure with this stoichiometry ... 0.199 eV per atom
Energy relative to the elements ... 0.479 eV per atom

a = 2.8878 Å, b = 3.6910 Å, c = 5.9981 Å
α = 90.00°, β = 101.23°, γ = 90.00°
Sites, in units of the cell vectors:
Ag  0.0000  0.0000  0.0000
P  0.0000  0.0000  0.5000
W  0.3954  0.5000  0.7145
W  0.6046  0.5000  0.2855

=====

No. 7
Computed, not measured: a relaxed Tb12Pm2Zr crystal at the PBE-GGA level of DFT.

E ... -0.3559 Ry/atom
Energy relative to the elements ... 0.066 eV per atom

a = 3.4892 Å, b = 5.5938 Å, c = 24.4601 Å
α = 96.54°, β = 90.10°, γ = 90.00°
Sites, in units of the cell vectors:
Tb  0.0000  0.0000  0.0000
Tb  0.9998  0.0660  0.1338
Tb  0.4909  0.7374  0.4725
Tb  0.4917  0.2039  0.4034
Tb  0.4925  0.8057  0.6077
Tb  0.4944  0.3401  0.6785
Tb  0.4983  0.1296  0.2627
Tb  0.4982  0.9362  0.8716
Tb  0.9914  0.6739  0.3435
Tb  0.9963  0.8721  0.7432
Tb  0.9983  0.5990  0.2024
Tb  0.9988  0.4590  0.9176
Pm  0.4998  0.5331  0.0663
Pm  0.9917  0.2716  0.5406
Zr  0.4975  0.4021  0.8014

=====

No. 8
Computed, not measured: a relaxed RbSn3Bi crystal at the PBE-GGA level of DFT.

E ... -0.2188 Ry/atom
Energy above the lowest structure with this stoichiometry ... 0.533 eV per atom
Energy relative to the elements ... 0.394 eV per atom

a = 6.0580 Å, b = 6.0580 Å, c = 6.0580 Å
α = 90.00°, β = 90.00°, γ = 90.00°
Sites, in units of the cell vectors:
Rb  0.0000  0.0000  0.0000
Sn  0.0000  0.5000  0.5000
Sn  0.5000  0.0000  0.5000
Sn  0.5000  0.5000  0.0000
Bi  0.5000  0.5000  0.5000

=====

No. 9
Computed, not measured: a relaxed Cu5Pd3Au4 crystal at the PBE-GGA level of DFT.

E ... -0.2953 Ry/atom
Energy relative to the elements ... 0.080 eV per atom

a = 6.6355 Å, b = 6.6355 Å, c = 7.2592 Å
α = 115.63°, β = 115.63°, γ = 41.37°
Sites, in units of the cell vectors:
Cu  0.0000  0.0000  0.0000
Cu  0.1719  0.1719  0.3560
Cu  0.2713  0.2713  0.7438
Cu  0.7287  0.7287  0.2562
Cu  0.8281  0.8281  0.6440
Pd  0.0602  0.0602  0.7128
Pd  0.5000  0.5000  0.0000
Pd  0.9398  0.9398  0.2872
Au  0.2950  0.2950  0.1257
Au  0.4122  0.4122  0.5674
Au  0.5878  0.5878  0.4326
Au  0.7050  0.7050  0.8743

=====

No. 10
Computed, not measured: a relaxed Mg3Si4 crystal at the PBE-GGA level of DFT.

E ... -0.2710 Ry/atom
Formation energy from raw total energies ... 0.096 eV/atom
Energy above the lowest structure with this stoichiometry ... 0.043 eV per atom

a = 6.2775 Å, b = 6.4830 Å, c = 7.4884 Å
α = 66.67°, β = 71.53°, γ = 83.04°
Sites, in units of the cell vectors:
Mg  0.0000  0.0000  0.0000
Mg  0.0914  0.4731  0.6045
Mg  0.4154  0.1010  0.2320
Mg  0.5973  0.2886  0.4835
Mg  0.6968  0.7373  0.4627
Mg  0.8148  0.5084  0.0091
Si  0.1079  0.5433  0.2097
Si  0.2909  0.5214  0.8657
Si  0.3199  0.9286  0.6769
Si  0.4524  0.6729  0.2189
Si  0.5817  0.9426  0.8695
Si  0.6450  0.3208  0.8210
Si  0.9453  0.8986  0.6323
Si  0.9825  0.1564  0.2924

=====

No. 11
Computed, not measured: a relaxed TlInGa2 crystal at the PBE-GGA level of DFT.

E ... -0.2033 Ry/atom
Energy above the lowest structure with this stoichiometry ... 0.000 eV per atom
Energy relative to the elements ... 0.024 eV per atom

a = 6.3096 Å, b = 6.3096 Å, c = 6.7758 Å
α = 90.00°, β = 90.00°, γ = 133.57°
Sites, in units of the cell vectors:
Tl  0.0812  0.9188  0.7500
Tl  0.9188  0.0812  0.2500
In  0.2115  0.7885  0.2500
In  0.7885  0.2115  0.7500
Ga  0.3891  0.6109  0.5534
Ga  0.3891  0.6109  0.9466
Ga  0.6109  0.3891  0.0534
Ga  0.6109  0.3891  0.4466

=====

No. 12
Computed, not measured: a relaxed Tm3GeS6 crystal at the PBE-GGA level of DFT.

E ... -0.4289 Ry/atom
Formation energy from raw total energies ... -1.556 eV/atom

a = 8.4318 Å, b = 8.4318 Å, c = 6.5242 Å
α = 90.00°, β = 90.00°, γ = 102.56°
Sites, in units of the cell vectors:
Tm  0.0972  0.9028  0.5000
Tm  0.2153  0.4132  0.4169
Tm  0.4132  0.2153  0.9169
Tm  0.5868  0.7847  0.4169
Tm  0.7847  0.5868  0.9169
Tm  0.9028  0.0972  0.0000
Ge  0.2991  0.7009  0.8761
Ge  0.7009  0.2991  0.3761
S  0.0606  0.5990  0.6890
S  0.1321  0.1924  0.7097
S  0.1924  0.1321  0.2097
S  0.2821  0.7179  0.2565
S  0.4010  0.9394  0.6890
S  0.4644  0.5356  0.7188
S  0.5356  0.4644  0.2188
S  0.5990  0.0606  0.1890
S  0.7179  0.2821  0.7565
S  0.8076  0.8679  0.7097
S  0.8679  0.8076  0.2097
S  0.9394  0.4010  0.1890

=====

No. 13
Computed, not measured: a relaxed BaPr2RhO5 crystal at the PBE-GGA level of DFT.

E ... -0.5414 Ry/atom
Formation energy from raw total energies ... -2.519 eV/atom

a = 6.8821 Å, b = 6.8821 Å, c = 5.9598 Å
α = 90.00°, β = 90.00°, γ = 90.00°
Sites, in units of the cell vectors:
Ba  0.0000  0.0000  0.0000
Ba  0.5000  0.5000  0.0000
Pr  0.1741  0.3259  0.5000
Pr  0.3259  0.8259  0.5000
Pr  0.6741  0.1741  0.5000
Pr  0.8259  0.6741  0.5000
Rh  0.0000  0.5000  0.0000
Rh  0.5000  0.0000  0.0000
O  0.0000  0.0000  0.5000
O  0.1391  0.6391  0.2500
O  0.1391  0.6391  0.7500
O  0.3609  0.1391  0.2500
O  0.3609  0.1391  0.7500
O  0.5000  0.5000  0.5000
O  0.6391  0.8609  0.2500
O  0.6391  0.8609  0.7500
O  0.8609  0.3609  0.2500
O  0.8609  0.3609  0.7500

=====

No. 14
Computed, not measured: a relaxed ErSc3Ni crystal at the PBE-GGA level of DFT.

E ... -0.4365 Ry/atom
Energy above the lowest structure with this stoichiometry ... 0.000 eV per atom
Energy relative to the elements ... -0.072 eV per atom

a = 4.9652 Å, b = 4.9652 Å, c = 4.9652 Å
α = 90.00°, β = 90.00°, γ = 90.00°
Sites, in units of the cell vectors:
Er  0.0000  0.0000  0.0000
Sc  0.0000  0.5000  0.5000
Sc  0.5000  0.0000  0.5000
Sc  0.5000  0.5000  0.0000
Ni  0.5000  0.5000  0.5000

=====

No. 15
Computed, not measured: a relaxed TlHgPb2 crystal at the PBE-GGA level of DFT.

E ... -0.1844 Ry/atom
Energy relative to the elements ... 0.012 eV per atom

a = 3.5048 Å, b = 5.0556 Å, c = 6.8039 Å
α = 90.00°, β = 96.83°, γ = 90.00°
Sites, in units of the cell vectors:
Tl  0.0000  0.0000  0.0000
Hg  0.4614  0.5000  0.2283
Pb  0.4448  0.5000  0.7292
Pb  0.8932  0.0000  0.4854

=====

No. 16
Computed, not measured: a relaxed DyErHg3 crystal at the PBE-GGA level of DFT.

E ... -0.1431 Ry/atom
Energy relative to the elements ... 0.068 eV per atom

a = 11.4743 Å, b = 11.4743 Å, c = 11.4743 Å
α = 151.31°, β = 151.31°, γ = 41.02°
Sites, in units of the cell vectors:
Dy  0.0000  0.0000  0.0000
Dy  0.7500  0.2500  0.5000
Er  0.4147  0.4147  0.0000
Er  0.5853  0.5853  0.0000
Hg  0.0374  0.5374  0.5000
Hg  0.3741  0.1284  0.2457
Hg  0.4626  0.9626  0.5000
Hg  0.8716  0.1173  0.2457
Hg  0.8716  0.6259  0.7543
Hg  0.8827  0.1284  0.7543

=====

No. 17
Computed, not measured: a relaxed NiAs crystal at the PBE-GGA level of DFT.

E ... -0.3872 Ry/atom
Energy relative to the elements ... -0.052 eV per atom

a = 6.0931 Å, b = 6.0931 Å, c = 6.0931 Å
α = 109.47°, β = 109.47°, γ = 109.47°
Sites, in units of the cell vectors:
Ni  0.0000  0.0000  0.7394
Ni  0.0000  0.7394  0.0000
Ni  0.2606  0.2606  0.2606
Ni  0.7394  0.0000  0.0000
As  0.0000  0.0000  0.3782
As  0.0000  0.3782  0.0000
As  0.3782  0.0000  0.0000
As  0.6218  0.6218  0.6218

=====

No. 18
Computed, not measured: a relaxed TbThTc crystal at the PBE-GGA level of DFT.

E ... -0.5534 Ry/atom
Energy above the lowest structure with this stoichiometry ... 0.045 eV per atom
Energy relative to the elements ... -0.057 eV per atom

a = 4.8318 Å, b = 4.9085 Å, c = 7.0905 Å
α = 90.00°, β = 90.00°, γ = 90.00°
Sites, in units of the cell vectors:
Tb  0.2500  0.2500  0.0582
Tb  0.7500  0.7500  0.9418
Th  0.2500  0.2500  0.5688
Th  0.7500  0.7500  0.4312
Tc  0.2500  0.7500  0.7173
Tc  0.7500  0.2500  0.2827

=====

No. 19
Computed, not measured: a relaxed Rb3Pm3VS8 crystal at the PBE-GGA level of DFT.

E ... -0.4044 Ry/atom
Formation energy from raw total energies ... -1.550 eV/atom

a = 9.1179 Å, b = 9.1179 Å, c = 9.1179 Å
α = 52.36°, β = 52.36°, γ = 52.36°
Sites, in units of the cell vectors:
Rb  0.0000  0.5000  0.5000
Rb  0.5000  0.0000  0.5000
Rb  0.5000  0.5000  0.0000
Pm  0.0000  0.0000  0.5000
Pm  0.0000  0.5000  0.0000
Pm  0.5000  0.0000  0.0000
V  0.5000  0.5000  0.5000
S  0.2330  0.2330  0.2330
S  0.2643  0.7070  0.7070
S  0.2930  0.2930  0.7357
S  0.2930  0.7357  0.2930
S  0.7070  0.2643  0.7070
S  0.7070  0.7070  0.2643
S  0.7357  0.2930  0.2930
S  0.7670  0.7670  0.7670

=====

No. 20
Computed, not measured: a relaxed RbZrCd2W crystal at the PBE-GGA level of DFT.

E ... -0.1594 Ry/atom
Energy relative to the elements ... 2.691 eV per atom

a = 5.2321 Å, b = 5.2321 Å, c = 5.1422 Å
α = 90.00°, β = 90.00°, γ = 90.00°
Sites, in units of the cell vectors:
Rb  0.0000  0.0000  0.0000
Zr  0.0000  0.0000  0.5000
Cd  0.0000  0.5000  0.0000
Cd  0.5000  0.0000  0.0000
W  0.5000  0.5000  0.5000

=====

No. 21
Computed, not measured: a relaxed BaHg12Pb6 crystal at the PBE-GGA level of DFT.

E ... -0.1095 Ry/atom
Energy above the lowest structure with this stoichiometry ... 0.050 eV per atom
Energy relative to the elements ... -0.026 eV per atom

a = 8.7679 Å, b = 8.7679 Å, c = 8.7679 Å
α = 105.45°, β = 105.45°, γ = 105.45°
Sites, in units of the cell vectors:
Ba  0.0000  0.0000  0.0000
Hg  0.1039  0.5000  0.8961
Hg  0.1039  0.8961  0.5000
Hg  0.1361  0.3648  0.3648
Hg  0.3648  0.1361  0.3648
Hg  0.3648  0.3648  0.1361
Hg  0.5000  0.1039  0.8961
Hg  0.5000  0.8961  0.1039
Hg  0.6352  0.6352  0.8639
Hg  0.6352  0.8639  0.6352
Hg  0.8639  0.6352  0.6352
Hg  0.8961  0.1039  0.5000
Hg  0.8961  0.5000  0.1039
Pb  0.2673  0.6936  0.6936
Pb  0.3064  0.3064  0.7327
Pb  0.3064  0.7327  0.3064
Pb  0.6936  0.2673  0.6936
Pb  0.6936  0.6936  0.2673
Pb  0.7327  0.3064  0.3064

=====

No. 22
Computed, not measured: a relaxed Pm2DyMgO crystal at the PBE-GGA level of DFT.

E ... -0.3915 Ry/atom
Formation energy from raw total energies ... -1.196 eV/atom

a = 5.0197 Å, b = 5.0197 Å, c = 4.7507 Å
α = 90.00°, β = 90.00°, γ = 90.00°
Sites, in units of the cell vectors:
Pm  0.0000  0.5000  0.0000
Pm  0.5000  0.0000  0.0000
Dy  0.0000  0.0000  0.5000
Mg  0.5000  0.5000  0.5000
O  0.0000  0.0000  0.0000